[1]
Computed, not measured: a relaxed BaAcGa2Pd5 crystal at the PBE-GGA level of DFT.

```
BaAcGa2Pd5
1.0
4.526 0.000 0.000
0.000 4.526 0.000
0.000 0.000 9.263
Ba Ac Ga Pd
1 1 2 5
direct
0.000 0.000 0.000
0.000 0.000 0.500
0.500 0.500 0.353
0.500 0.500 0.647
0.000 0.500 0.236
0.000 0.500 0.764
0.500 0.000 0.236
0.500 0.000 0.764
0.500 0.500 0.000
```

Properties
ΔE_f ... -59.14 kJ/mol of atoms
Electronic total energy ... -4.84 eV per atom
Symmetry ... P4/mmm, No. 123
Crystal system ... tetragonal

[2]
Computed, not measured: a relaxed BaAc2Ga2Pt7 crystal at the PBE-GGA level of DFT.

```
BaAc2Ga2Pt7
1.0
3.053 -3.349 0.000
3.053 3.349 0.000
-0.416 0.000 13.469
Ba Ac Ga Pt
1 2 2 7
direct
0.000 0.000 0.000
0.140 0.140 0.352
0.860 0.860 0.648
0.342 0.342 0.760
0.658 0.658 0.240
0.139 0.560 0.170
0.365 0.365 0.576
0.440 0.861 0.830
0.500 0.500 0.000
0.560 0.139 0.170
0.635 0.635 0.424
0.861 0.440 0.830
```

Properties
ΔE_f ... -71.61 kJ/mol of atoms
Electronic total energy ... -5.62 eV per atom
Symmetry ... C2/m, No. 12
Crystal system ... monoclinic

[3]
Computed, not measured: a relaxed BaAcGaPt crystal at the PBE-GGA level of DFT.

```
BaAcGaPt
1.0
7.794 0.000 0.000
0.000 7.794 0.000
0.000 0.000 7.794
Ba Ac Ga Pt
4 4 4 4
direct
0.000 0.000 0.000
0.000 0.500 0.500
0.500 0.000 0.500
0.500 0.500 0.000
0.000 0.000 0.500
0.000 0.500 0.000
0.500 0.000 0.000
0.500 0.500 0.500
0.250 0.250 0.750
0.250 0.750 0.250
0.750 0.250 0.250
0.750 0.750 0.750
0.250 0.250 0.250
0.250 0.750 0.750
0.750 0.250 0.750
0.750 0.750 0.250
```

Properties
ΔE_f ... -50.04 kJ/mol of atoms
Electronic total energy ... -4.29 eV per atom
Symmetry ... F-43m, No. 216
Crystal system ... cubic

[4]
Computed, not measured: a relaxed Ba2AcGa2S6 crystal at the PBE-GGA level of DFT.

```
Ba2AcGa2S6
1.0
5.903 -3.709 0.000
5.903 3.709 0.000
-3.332 0.000 7.536
Ba Ac Ga S
2 1 2 6
direct
0.200 0.200 0.160
0.800 0.800 0.840
0.000 0.000 0.500
0.464 0.464 0.663
0.536 0.536 0.337
0.185 0.688 0.190
0.259 0.259 0.566
0.312 0.815 0.810
0.688 0.185 0.190
0.741 0.741 0.434
0.815 0.312 0.810
```

Properties
Electronic total energy ... -4.92 eV per atom
Symmetry ... C2/m, No. 12
Crystal system ... monoclinic
Energy relative to the elements, uncorrected ... -1.390 eV per atom

Question: Which value of electronic total energy does entry 1 give?
Answer: -4.84 eV per atom

Question: Among the records above, which one has the lowest electronic total energy?
Answer: BaAc2Ga2Pt7

Question: Among the records above, which one has the highest electronic total energy?
Answer: BaAcGaPt